# PBE MgHgO2, relaxed
data_MgHgO2
_chemical_formula_sum 'Mg1 Hg1 O2'
_symmetry_space_group_name_H-M 'P 1'
_symmetry_Int_Tables_number 1
_cell_length_a 3.222
_cell_length_b 3.222
_cell_length_c 5.826
_cell_angle_alpha 90.00
_cell_angle_beta 90.00
_cell_angle_gamma 120.00
loop_
_symmetry_equiv_pos_as_xyz
'x,y,z'
loop_
_atom_site_label
_atom_site_type_symbol
_atom_site_fract_x
_atom_site_fract_y
_atom_site_fract_z
_atom_site_occupancy
Mg1 Mg 0.000 0.000 0.978 1
Hg1 Hg 0.333 0.667 0.461 1
O1 O 0.333 0.667 0.822 1
O2 O 0.667 0.333 0.194 1
# - Space-group type: P3m1 (156)
# - E_tot: -4.32 eV/atom
# - M_tot: 0.0 μB per formula unit